Record 1
Compound: NaGa2P2
Source: Alexandria via LeMat-Bulk
Functional: PBE-GGA
Structure: relaxed

Properties
**Calculated total energy**: -3.8247 eV/atom
**Energy above the most stable polymorph in this dataset**: 0.000 eV per atom
**Space group**: No. 139

The structure in POSCAR format:
```
NaGa2P2
1.0
-2.109 2.109 6.447
2.109 -2.109 6.447
2.109 2.109 -6.447
Na Ga P
1 2 2
Direct
0.000 0.000 0.000 Na
0.250 0.750 0.500 Ga
0.750 0.250 0.500 Ga
0.354 0.354 0.000 P
0.646 0.646 0.000 P
```

Record 2
Compound: Au
Source: Alexandria via LeMat-Bulk
Functional: PBE-GGA
Structure: relaxed

Properties
**Calculated total energy**: -3.2774 eV/atom
**Energy above the most stable polymorph in this dataset**: 0.000 eV per atom
**Space group**: No. 12

The structure in POSCAR format:
```
Au
1.0
2.067 -2.098 0.000
2.067 2.098 0.000
-2.037 0.000 2.092
Au
1
Direct
0.000 0.000 0.000 Au
```

Record 3
Compound: TbDyTmAl
Source: Alexandria via LeMat-Bulk
Functional: PBE-GGA
Structure: relaxed

Properties
**Calculated total energy**: -4.4318 eV/atom
**Energy above the most stable polymorph in this dataset**: 0.120 eV per atom
**Space group**: No. 216

The structure in POSCAR format:
```
TbDyTmAl
1.0
0.000 3.765 3.765
3.765 0.000 3.765
3.765 3.765 0.000
Tb Dy Tm Al
1 1 1 1
Direct
0.000 0.000 0.000 Tb
0.500 0.500 0.500 Dy
0.750 0.750 0.750 Tm
0.250 0.250 0.250 Al
```

Record 4
Compound: SrCoSeN2
Source: Alexandria via LeMat-Bulk
Functional: PBE-GGA
Structure: relaxed

Properties
**Formation energy without anion corrections**: 9.30 eV/f.u.
**Calculated total energy**: -3.9240 eV/atom
**Energy above the most stable polymorph in this dataset**: 1.518 eV per atom
**Space group**: No. 123

The structure in POSCAR format:
```
SrCoSeN2
1.0
4.708 0.000 0.000
0.000 4.708 0.000
0.000 0.000 6.210
Sr Co Se N
1 1 1 2
Direct
0.000 0.000 0.000 Sr
0.500 0.500 0.500 Co
0.000 0.000 0.500 Se
0.000 0.500 0.000 N
0.500 0.000 0.000 N
```

Record 5
Compound: MgHPt2Rh
Source: Alexandria via LeMat-Bulk
Functional: PBE-GGA
Structure: relaxed

Properties
**Calculated total energy**: -5.1701 eV/atom
**Energy above the most stable polymorph in this dataset**: 0.072 eV per atom
**Space group**: No. 123

The structure in POSCAR format:
```
MgHPt2Rh
1.0
3.916 0.000 0.000
0.000 3.916 0.000
0.000 0.000 4.156
Mg H Pt Rh
1 1 2 1
Direct
0.000 0.000 0.000 Mg
0.000 0.000 0.500 H
0.000 0.500 0.500 Pt
0.500 0.000 0.500 Pt
0.500 0.500 0.000 Rh
```

Record 6
Compound: Ba2Tl3Ge2
Source: Alexandria via LeMat-Bulk
Functional: PBE-GGA
Structure: relaxed

Properties
**Calculated total energy**: -3.2289 eV/atom
**Space group**: No. 12

The structure in POSCAR format:
```
Ba2Tl3Ge2
1.0
5.975 -2.462 0.000
5.975 2.462 0.000
-1.064 0.000 7.619
Ba Tl Ge
2 3 2
Direct
0.129 0.129 0.326 Ba
0.871 0.871 0.674 Ba
0.179 0.179 0.856 Tl
0.500 0.500 0.000 Tl
0.821 0.821 0.144 Tl
0.420 0.420 0.377 Ge
0.580 0.580 0.623 Ge
```

Record 7
Compound: KTaSn2
Source: Alexandria via LeMat-Bulk
Functional: PBE-GGA
Structure: relaxed

Properties
**Calculated total energy**: -4.6140 eV/atom
**Energy above the most stable polymorph in this dataset**: 0.062 eV per atom
**Space group**: No. 225

The structure in POSCAR format:
```
KTaSn2
1.0
0.000 3.659 3.659
3.659 0.000 3.659
3.659 3.659 0.000
K Ta Sn
1 1 2
Direct
0.000 0.000 0.000 K
0.500 0.500 0.500 Ta
0.250 0.250 0.250 Sn
0.750 0.750 0.750 Sn
```

Record 8
Compound: AcCeOs
Source: Alexandria via LeMat-Bulk
Functional: PBE-GGA
Structure: relaxed

Properties
**Calculated total energy**: -7.0312 eV/atom
**Energy above the most stable polymorph in this dataset**: 0.143 eV per atom
**Space group**: No. 107

The structure in POSCAR format:
```
AcCeOs
1.0
-1.794 1.794 6.780
1.794 -1.794 6.780
1.794 1.794 -6.780
Ac Ce Os
1 1 1
Direct
0.000 0.000 0.000 Ac
0.747 0.747 0.000 Ce
0.349 0.349 0.000 Os
```

Record 9
Compound: KVSe2
Source: Alexandria via LeMat-Bulk
Functional: PBE-GGA
Structure: relaxed

Properties
**Formation energy without anion corrections**: -3.60 eV/f.u.
**Calculated total energy**: -5.1953 eV/atom
**Space group**: No. 40

The structure in POSCAR format:
```
KVSe2
1.0
5.800 0.000 0.000
0.000 6.481 3.151
0.000 -6.481 3.151
K V Se
2 2 4
Direct
0.250 0.239 0.761 K
0.750 0.761 0.239 K
0.000 0.719 0.719 V
0.500 0.719 0.719 V
0.250 0.610 0.404 Se
0.250 0.839 0.038 Se
0.750 0.038 0.839 Se
0.750 0.404 0.610 Se
```

Record 10
Compound: MnCuPH
Source: Alexandria via LeMat-Bulk
Functional: PBE-GGA
Structure: relaxed

Properties
**Calculated total energy**: -5.4179 eV/atom
**Energy above the most stable polymorph in this dataset**: 0.156 eV per atom
**Space group**: No. 99

The structure in POSCAR format:
```
MnCuPH
1.0
2.915 0.000 0.000
0.000 2.915 0.000
0.000 0.000 4.902
Mn Cu P H
1 1 1 1
Direct
0.000 0.000 0.000 Mn
0.500 0.500 0.663 Cu
0.500 0.500 0.197 P
0.000 0.000 0.314 H
```

Record 11
Compound: BeAgW2
Source: Alexandria via LeMat-Bulk
Functional: PBE-GGA
Structure: relaxed

Properties
**Calculated total energy**: -7.5895 eV/atom
**Space group**: No. 25

The structure in POSCAR format:
```
BeAgW2
1.0
2.677 0.000 0.000
0.000 3.990 0.000
0.000 0.000 5.716
Be Ag W
1 1 2
Direct
0.000 0.000 0.000 Be
0.500 0.500 0.756 Ag
0.000 0.000 0.466 W
0.500 0.500 0.226 W
```

Record 12
Compound: Ac3Lu5O12
Source: Alexandria via LeMat-Bulk
Functional: PBE-GGA
Structure: relaxed

Properties
**Formation energy without anion corrections**: -69.97 eV/f.u.
**Calculated total energy**: -8.2201 eV/atom
**Space group**: No. 230

The structure in POSCAR format:
```
Ac3Lu5O12
1.0
-6.897 6.897 6.897
6.897 -6.897 6.897
6.897 6.897 -6.897
Ac Lu O
12 20 48
Direct
0.125 0.250 0.375 Ac
0.125 0.375 0.750 Ac
0.250 0.375 0.125 Ac
0.250 0.875 0.625 Ac
0.375 0.125 0.250 Ac
0.375 0.750 0.125 Ac
0.625 0.250 0.875 Ac
0.625 0.875 0.750 Ac
0.750 0.125 0.375 Ac
0.750 0.625 0.875 Ac
0.875 0.625 0.250 Ac
0.875 0.750 0.625 Ac
0.000 0.000 0.000 Lu
0.000 0.000 0.500 Lu
0.000 0.500 0.000 Lu
0.000 0.500 0.500 Lu
0.125 0.750 0.875 Lu
0.125 0.875 0.250 Lu
0.250 0.125 0.875 Lu
0.250 0.625 0.375 Lu
0.375 0.250 0.625 Lu
0.375 0.625 0.750 Lu
0.500 0.000 0.000 Lu
0.500 0.000 0.500 Lu
0.500 0.500 0.000 Lu
0.500 0.500 0.500 Lu
0.625 0.375 0.250 Lu
0.625 0.750 0.375 Lu
0.750 0.375 0.625 Lu
0.750 0.875 0.125 Lu
0.875 0.125 0.750 Lu
0.875 0.250 0.125 Lu
0.029 0.206 0.124 O
0.029 0.324 0.905 O
0.082 0.706 0.676 O
0.082 0.876 0.405 O
0.095 0.624 0.418 O
0.095 0.971 0.676 O
0.124 0.029 0.206 O
0.124 0.595 0.918 O
0.176 0.206 0.582 O
0.176 0.471 0.595 O
0.206 0.124 0.029 O
0.206 0.582 0.176 O
0.294 0.324 0.918 O
0.294 0.471 0.376 O
0.324 0.905 0.029 O
0.324 0.918 0.294 O
0.376 0.294 0.471 O
0.376 0.582 0.905 O
0.405 0.082 0.876 O
0.405 0.824 0.529 O
0.418 0.095 0.624 O
0.418 0.824 0.794 O
0.471 0.376 0.294 O
0.471 0.595 0.176 O
0.529 0.405 0.824 O
0.529 0.624 0.706 O
0.582 0.176 0.206 O
0.582 0.905 0.376 O
0.595 0.176 0.471 O
0.595 0.918 0.124 O
0.624 0.418 0.095 O
0.624 0.706 0.529 O
0.676 0.082 0.706 O
0.676 0.095 0.971 O
0.706 0.529 0.624 O
0.706 0.676 0.082 O
0.794 0.418 0.824 O
0.794 0.876 0.971 O
0.824 0.529 0.405 O
0.824 0.794 0.418 O
0.876 0.405 0.082 O
0.876 0.971 0.794 O
0.905 0.029 0.324 O
0.905 0.376 0.582 O
0.918 0.124 0.595 O
0.918 0.294 0.324 O
0.971 0.676 0.095 O
0.971 0.794 0.876 O
```

Question: Which formula does entry 9 have?
Answer: KVSe2

Copy entry 7 word for word.
Compound: KTaSn2
Source: Alexandria via LeMat-Bulk
Functional: PBE-GGA
Structure: relaxed

Properties
**Calculated total energy**: -4.6140 eV/atom
**Energy above the most stable polymorph in this dataset**: 0.062 eV per atom
**Space group**: No. 225

The structure in POSCAR format:
```
KTaSn2
1.0
0.000 3.659 3.659
3.659 0.000 3.659
3.659 3.659 0.000
K Ta Sn
1 1 2
Direct
0.000 0.000 0.000 K
0.500 0.500 0.500 Ta
0.250 0.250 0.250 Sn
0.750 0.750 0.750 Sn
```

Question: Number 1 is which compound?
Answer: NaGa2P2

Question: What is the calculated total energy in the ninth record?
Answer: -5.1953 eV/atom